(1)
TbErZnFe: relaxed, GGA-PBE.

a b c (Å): 6.9106 6.9106 6.9106
angles (deg): 90.00 90.00 90.00
With the nearest neighbours (Å) after each atom.
Space group F-43m (No. 216)
One atom of each set of equivalent atoms:
Tb (0.0000, 0.0000, 0.0000) (multiplicity 4)  4 Fe 2.99, 4 Zn 2.99
Er (0.0000, 0.0000, 0.5000) (multiplicity 4)  4 Zn 2.99, 4 Fe 2.99
Zn (0.2500, 0.2500, 0.7500) (multiplicity 4)  4 Tb 2.99, 4 Er 2.99
Fe (0.2500, 0.2500, 0.2500) (multiplicity 4)  4 Tb 2.99, 4 Er 2.99

- calculated density (kg/m3) = 9005
- total moment (μB per atom) = 0.301
- calculated total energy (eV per atom) = -4.814

(2)
Er6Fe2Tc: relaxed, GGA-PBE.

a b c (Å): 9.2576 9.4684 9.4827
angles (deg): 90.00 90.00 90.00
With the nearest neighbours (Å) after each atom.
Space group Immm (No. 71)
One atom of each set of equivalent atoms:
Er (0.0000, 0.1778, 0.2022) (multiplicity 8)  3 Fe 2.77-2.81
Er (0.1779, 0.5000, 0.2469) (multiplicity 8)  1 Tc 2.91, 3 Fe 3.00-3.05
Er (0.1916, 0.2353, 0.5000) (multiplicity 8)  2 Tc 2.85-3.07, 2 Fe 3.02-3.09
Fe (0.0000, 0.3894, 0.0000) (multiplicity 4)  1 Fe 2.09
Fe (0.1273, 0.0000, 0.0000) (multiplicity 4)  1 Fe 2.36
Tc (0.0000, 0.0000, 0.5000) (multiplicity 2)  4 Er 2.85
Tc (0.0000, 0.5000, 0.5000) (multiplicity 2)  8 Er 2.91-3.07

- calculated density (kg/m3) = 9695
- total moment (μB per atom) = 0.264
- calculated total energy (eV per atom) = -6.093

(3)
Er2Fe3Tc: relaxed, GGA-PBE.

a b c (Å): 5.1741 5.1741 12.6184
angles (deg): 90.00 90.00 120.00
With the nearest neighbours (Å) after each atom.
Space group R-3m (No. 166, hexagonal axes)
One atom of each set of equivalent atoms:
Er (0.0000, 0.0000, 0.1254) (multiplicity 6)  9 Fe 3.02-3.03, 3 Tc 3.03, 4 Er 3.16
Fe (0.0000, 0.5000, 0.0000) (multiplicity 9)  2 Tc 2.58, 4 Fe 2.59
Tc (0.0000, 0.0000, 0.5000) (multiplicity 3)  6 Fe 2.58

- calculated density (kg/m3) = 10218
- total moment (μB per atom) = 0.785
- calculated total energy (eV per atom) = -7.595

(4)
Er2FeTc: relaxed, GGA-PBE.

a b c (Å): 3.2313 3.2313 28.8013
angles (deg): 90.00 90.00 120.00
With the nearest neighbours (Å) after each atom.
Space group R-3m (No. 166, hexagonal axes)
One atom of each set of equivalent atoms:
Er (0.0000, 0.0000, 0.0940) (multiplicity 6)  1 Fe 2.71, 3 Tc 2.80
Fe (0.0000, 0.0000, 0.0000) (multiplicity 3)  2 Er 2.71
Tc (0.0000, 0.0000, 0.5000) (multiplicity 3)  6 Er 2.80

- calculated density (kg/m3) = 9341
- total moment (μB per atom) = 0.552
- calculated total energy (eV per atom) = -6.377